1.
DFT (PBE) results for a relaxed structure of CaNd2Cu4O8.

Summary:
E_form (uncorrected) in eV per atom: -1.76

a = 6.287 Å, b = 6.287 Å, c = 11.396 Å
α = 90.00°, β = 90.00°, γ = 117.94°
Fractional positions:
Nd 0.500 0.500 0.662
Nd 0.000 0.000 0.162
Nd 0.000 0.000 0.838
Nd 0.500 0.500 0.338
Cu 0.000 0.500 0.928
Cu 0.500 0.000 0.072
Cu 0.500 0.000 0.822
Cu 0.500 0.000 0.322
Cu 0.000 0.500 0.428
Cu 0.000 0.500 0.678
Cu 0.500 0.000 0.572
Cu 0.000 0.500 0.178
O 0.649 0.902 0.948
O 0.573 0.822 0.196
O 0.178 0.427 0.804
O 0.427 0.178 0.196
O 0.149 0.402 0.552
O 0.851 0.598 0.552
O 0.902 0.649 0.052
O 0.073 0.322 0.304
O 0.351 0.098 0.948
O 0.678 0.927 0.696
O 0.322 0.073 0.696
O 0.402 0.149 0.448
O 0.927 0.678 0.304
O 0.098 0.351 0.052
O 0.598 0.851 0.448
O 0.822 0.573 0.804
Ca 0.000 0.000 0.500
Ca 0.500 0.500 0.000

2.
DFT (PBE) results for a relaxed structure of Ca2NdCuO4.

Summary:
E_form (uncorrected) in eV per atom: -2.40

a = 3.467 Å, b = 5.771 Å, c = 6.015 Å
α = 110.05°, β = 90.00°, γ = 90.00°
Fractional positions:
Ca 0.500 0.000 0.500
Ca 0.000 0.500 0.500
O 0.000 0.262 0.742
O 0.500 0.743 0.744
O 0.000 0.738 0.258
O 0.500 0.257 0.256
Cu 0.000 0.000 0.000
Nd 0.500 0.500 0.000

3.
DFT (PBE) results for a relaxed structure of CaNd2CuO5.

Summary:
E_form (uncorrected) in eV per atom: -2.50

a = 5.760 Å, b = 6.649 Å, c = 6.649 Å
α = 90.00°, β = 90.00°, γ = 90.00°
Fractional positions:
O 0.236 0.644 0.856
O 0.764 0.356 0.144
O 0.236 0.356 0.144
O 0.236 0.144 0.644
O 0.764 0.144 0.644
O 0.500 0.000 0.000
O 0.500 0.500 0.500
O 0.764 0.644 0.856
O 0.764 0.856 0.356
O 0.236 0.856 0.356
Cu 0.000 0.000 0.500
Cu 0.000 0.500 0.000
Nd 0.500 0.171 0.329
Nd 0.500 0.671 0.171
Nd 0.500 0.829 0.671
Nd 0.500 0.329 0.829
Ca 0.000 0.500 0.500
Ca 0.000 0.000 0.000

4.
DFT (PBE) results for a relaxed structure of Sr8Ca3NdTl2Cu8Pb2O28.

Summary:
E_form (uncorrected) in eV per atom: -1.74

a = 7.621 Å, b = 7.621 Å, c = 13.444 Å
α = 106.46°, β = 106.46°, γ = 90.01°
Fractional positions:
O 0.250 0.750 0.500
O 0.936 0.186 0.871
O 0.250 0.250 0.499
O 0.086 0.086 0.670
O 0.564 0.315 0.128
O 0.914 0.914 0.330
O 0.750 0.250 0.500
O 0.685 0.935 0.871
O 0.912 0.413 0.325
O 0.065 0.315 0.129
O 0.413 0.912 0.325
O 0.814 0.064 0.129
O 0.186 0.936 0.871
O 0.187 0.436 0.872
O 0.584 0.584 0.670
O 0.750 0.750 0.501
O 0.564 0.813 0.128
O 0.587 0.088 0.675
O 0.088 0.587 0.675
O 0.315 0.564 0.128
O 0.813 0.564 0.128
O 0.935 0.685 0.871
O 0.685 0.436 0.872
O 0.064 0.814 0.129
O 0.436 0.685 0.872
O 0.436 0.187 0.872
O 0.315 0.065 0.129
O 0.416 0.416 0.330
Cu 0.682 0.682 0.860
Cu 0.680 0.177 0.857
Cu 0.318 0.318 0.140
Cu 0.177 0.680 0.857
Cu 0.179 0.179 0.860
Cu 0.823 0.320 0.143
Cu 0.821 0.821 0.140
Cu 0.320 0.823 0.143
Sr 0.645 0.645 0.290
Sr 0.143 0.143 0.286
Sr 0.143 0.643 0.286
Sr 0.357 0.857 0.714
Sr 0.857 0.857 0.714
Sr 0.857 0.357 0.714
Sr 0.643 0.143 0.286
Sr 0.355 0.355 0.710
Tl 0.000 0.000 0.500
Tl 0.500 0.500 0.500
Ca 0.000 0.000 0.000
Ca 0.000 0.500 0.000
Ca 0.500 0.000 0.000
Pb 0.000 0.500 0.500
Pb 0.500 0.000 0.500
Nd 0.500 0.500 0.000

5.
DFT (PBE) results for a relaxed structure of CaNdCuPd.

Summary:
Polymorph energy (0 for the lowest one) in kJ/mol of atoms: 0.0

a = 4.009 Å, b = 4.404 Å, c = 5.829 Å
α = 90.00°, β = 110.11°, γ = 90.00°
Fractional positions:
Ca 0.141 0.000 0.282
Nd 0.863 0.500 0.726
Pd 0.425 0.000 0.850
Cu 0.571 0.500 0.142

6.
DFT (PBE) results for a relaxed structure of CaNdCuPd.

Summary:
Polymorph energy (0 for the lowest one) in kJ/mol of atoms: 4.4

a = 5.060 Å, b = 5.060 Å, c = 5.060 Å
α = 60.00°, β = 60.00°, γ = 60.00°
Fractional positions:
Ca 0.500 0.500 0.500
Pd 0.750 0.750 0.750
Nd 0.000 0.000 0.000
Cu 0.250 0.250 0.250

7.
DFT (PBE) results for a relaxed structure of CaNdCuRu.

Summary:
Final energy in eV per atom: -5.0453

a = 4.965 Å, b = 4.965 Å, c = 4.965 Å
α = 60.00°, β = 60.00°, γ = 60.00°
Fractional positions:
Ru 0.750 0.750 0.750
Nd 0.500 0.500 0.500
Cu 0.250 0.250 0.250
Ca 0.000 0.000 0.000

8.
DFT (PBE) results for a relaxed structure of CaNdCuSb.

Summary:
E_form (uncorrected) in eV per atom: -0.49

a = 5.278 Å, b = 5.278 Å, c = 5.278 Å
α = 60.00°, β = 60.00°, γ = 60.00°
Fractional positions:
Nd 0.250 0.250 0.250
Cu 0.500 0.500 0.500
Sb 0.000 0.000 0.000
Ca 0.750 0.750 0.750

9.
DFT (PBE) results for a relaxed structure of Ca2NdCuSe4.

Summary:
E_form (uncorrected) in eV per atom: -1.59

a = 4.088 Å, b = 7.038 Å, c = 14.462 Å
α = 90.00°, β = 90.00°, γ = 106.88°
Fractional positions:
Cu 0.848 0.695 0.750
Cu 0.152 0.305 0.250
Se 0.279 0.559 0.373
Se 0.454 0.907 0.750
Se 0.000 0.000 0.500
Se 0.279 0.559 0.127
Se 0.000 0.000 0.000
Se 0.721 0.441 0.627
Se 0.546 0.093 0.250
Se 0.721 0.441 0.873
Ca 0.631 0.262 0.062
Ca 0.369 0.738 0.562
Ca 0.631 0.262 0.438
Ca 0.369 0.738 0.938
Nd 0.117 0.234 0.750
Nd 0.883 0.766 0.250

10.
DFT (PBE) results for a relaxed structure of CaNdCuSi.

Summary:
E_form (uncorrected) in eV per atom: -0.34

a = 5.076 Å, b = 5.076 Å, c = 5.076 Å
α = 60.00°, β = 60.00°, γ = 60.00°
Fractional positions:
Cu 0.250 0.250 0.250
Si 0.750 0.750 0.750
Nd 0.000 0.000 0.000
Ca 0.500 0.500 0.500

11.
DFT (PBE) results for a relaxed structure of CaNdCuSn.

Summary:
Final energy in eV per atom: -4.1455

a = 5.291 Å, b = 5.291 Å, c = 5.291 Å
α = 60.00°, β = 60.00°, γ = 60.00°
Fractional positions:
Sn 0.250 0.250 0.250
Cu 0.750 0.750 0.750
Ca 0.500 0.500 0.500
Nd 0.000 0.000 0.000

12.
DFT (PBE) results for a relaxed structure of CaNdCu2Sn2.

Summary:
Final energy in eV per atom: -4.3358

a = 4.587 Å, b = 4.587 Å, c = 7.727 Å
α = 90.00°, β = 90.00°, γ = 120.00°
Fractional positions:
Nd 0.000 0.000 0.500
Sn 0.667 0.333 0.745
Sn 0.333 0.667 0.255
Cu 0.333 0.667 0.751
Cu 0.667 0.333 0.249
Ca 0.000 0.000 0.000